Entry 1:
This record from the Alexandria database describes a relaxed DyAsRh3 crystal. The functional is PBE.

The value obtained for the energy of formation is -639.3 meV per atom.

The space group is Imma (No. 74) and the conventional cell measures 5.433, 7.575 and 8.497 Å, with angles of 90.00, 90.00 and 90.00 degrees. The inequivalent atoms are Dy at (0.000, 0.250, 0.005), As at (0.000, 0.000, 0.500), Rh at (0.000, 0.250, 0.679) and Rh at (0.250, 0.051, 0.250).

***

Entry 2:
This record from the Alexandria database describes a relaxed NiTe2Cl crystal. The functional is PBE.

The calculation puts the uncorrected formation energy at -31 meV/atom.

The space group is Cmmm (No. 65) and the conventional cell measures 4.180, 5.494 and 7.818 Å, with angles of 90.00, 90.00 and 90.00 degrees. The inequivalent atoms are Ni at (0.000, 0.000, 0.000), Te at (0.000, 0.500, 0.193) and Cl at (0.000, 0.000, 0.500).

***

Entry 3:
This record from the Alexandria database describes a relaxed KPmSm4Se8 crystal. The functional is PBE.

The calculation puts the uncorrected formation energy at -1755 meV/atom.

The space group is R3m (No. 160, hexagonal axes) and the conventional cell measures 8.7437, 8.7437 and 21.4877 Å, with angles of 90.00, 90.00 and 120.00 degrees. The inequivalent atoms are K at (0.0000, 0.0000, 0.0000), Pm at (0.0000, 0.0000, 0.6301), Sm at (0.0000, 0.0000, 0.2508), Sm at (0.1726, 0.3452, 0.4575), Se at (0.0000, 0.0000, 0.3832), Se at (0.0000, 0.0000, 0.8605), Se at (0.0391, 0.5195, 0.3811) and Se at (0.1764, 0.3529, 0.2062).

***

Question: Which formula does entry 3 have?
Answer: KPmSm4Se8